Entry 1:
Te2MoBr | PBE | relaxed

The structure in POSCAR format:
```
Te2MoBr
1.0
-1.704 2.471 6.778
1.704 -2.471 6.778
1.704 2.471 -6.778
Te Mo Br
2 1 1
direct
0.000 0.000 0.000
0.632 0.132 0.500
0.156 0.656 0.500
0.312 0.312 0.000
```

Values from the calculation:
N(E_F), states/eV/cell: 3.9
E_tot, Ry/atom: -0.334
Formation energy (no corrections), eV per atom: 0.1553
Energy above the most stable polymorph in this dataset, meV/atom: 239.3
SG: Imm2 (44)
Magnetic moment, Bohr magnetons per cell: 0.00



Entry 2:
Y2CdCl | PBE | relaxed

The structure in POSCAR format:
```
Y2CdCl
1.0
0.000 3.716 3.716
3.716 0.000 3.716
3.716 3.716 0.000
Y Cd Cl
2 1 1
direct
0.250 0.250 0.250
0.750 0.750 0.750
0.000 0.000 0.000
0.500 0.500 0.500
```

Values from the calculation:
N(E_F), states/eV/cell: 3.6
E_tot, Ry/atom: -0.326
Formation energy (no corrections), eV per atom: -0.5107
Energy above the most stable polymorph in this dataset, meV/atom: 284.0
SG: Fm-3m (225)
Magnetic moment, Bohr magnetons per cell: 0.00



Please write out number 1 again, unchanged.
Te2MoBr | PBE | relaxed

The structure in POSCAR format:
```
Te2MoBr
1.0
-1.704 2.471 6.778
1.704 -2.471 6.778
1.704 2.471 -6.778
Te Mo Br
2 1 1
direct
0.000 0.000 0.000
0.632 0.132 0.500
0.156 0.656 0.500
0.312 0.312 0.000
```

Values from the calculation:
N(E_F), states/eV/cell: 3.9
E_tot, Ry/atom: -0.334
Formation energy (no corrections), eV per atom: 0.1553
Energy above the most stable polymorph in this dataset, meV/atom: 239.3
SG: Imm2 (44)
Magnetic moment, Bohr magnetons per cell: 0.00



Repeat the second record exactly.
Y2CdCl | PBE | relaxed

The structure in POSCAR format:
```
Y2CdCl
1.0
0.000 3.716 3.716
3.716 0.000 3.716
3.716 3.716 0.000
Y Cd Cl
2 1 1
direct
0.250 0.250 0.250
0.750 0.750 0.750
0.000 0.000 0.000
0.500 0.500 0.500
```

Values from the calculation:
N(E_F), states/eV/cell: 3.6
E_tot, Ry/atom: -0.326
Formation energy (no corrections), eV per atom: -0.5107
Energy above the most stable polymorph in this dataset, meV/atom: 284.0
SG: Fm-3m (225)
Magnetic moment, Bohr magnetons per cell: 0.00



Which of these has the lowest E_tot?
Te2MoBr



The lowest E_tot belongs to which entry?
Te2MoBr